(1)
Sr3GaCu8 after structural relaxation. Source: the Alexandria database, functional GGA-PBE.

```
12
Lattice="2.6636 1.5378 8.8410 -2.6636 1.5378 8.8410 0.0000 -3.0756 8.8410" Properties=species:S:1:pos:R:3 pbc="T T T"
Sr 0.0000 0.0000 0.0000
Sr 0.0000 0.0000 3.4230
Sr 0.0000 0.0000 16.2694
Ga 0.0000 0.0000 13.0375
Cu 0.0000 -1.5787 5.9529
Cu -1.3672 0.7894 5.9529
Cu -1.3154 -0.7595 10.5284
Cu 0.0000 0.0000 8.2055
Cu 1.3154 -0.7595 10.5284
Cu 0.0000 1.5189 10.5284
Cu 1.3672 0.7894 5.9528
Cu 0.0000 0.0000 21.5108
```

Mass density   6.4 g/cm³
Crystal system   trigonal
DOS(E_F)   5.75 states/eV/cell
Calculated volume   18.11 Å³/atom
Total energy   -3.39 eV per atom



(2)
SrGa2Cu after structural relaxation. Source: the Alexandria database, functional GGA-PBE.

```
8
Lattice="-2.4834 2.4834 8.3294 2.4834 -2.4834 8.3294 2.4834 2.4834 -8.3294" Properties=species:S:1:pos:R:3 pbc="T T T"
Sr 0.0000 0.0000 0.0000
Sr 0.0000 2.4834 4.1647
Ga 1.2417 -0.1576 6.2470
Ga 2.3257 1.2417 2.0823
Ga 1.2417 2.6410 -2.0823
Ga 0.1576 1.2417 10.4117
Cu 2.4834 0.0000 4.1647
Cu 0.0000 0.0000 8.3294
```

Mass density   4.7 g/cm³
Crystal system   tetragonal
DOS(E_F)   5.11 states/eV/cell
Calculated volume   25.68 Å³/atom
Total energy   -3.13 eV per atom